(1)
Below is a relaxed TbDy14Zr crystal, with properties calculated at the PBE level.

Geometry as POSCAR:
```
TbDy14Zr
1.0
-5.8287 3.9376 -0.2829
-3.3257 -4.6258 4.1353
3.0006 5.0183 8.0266
Tb Dy Zr
1 14 1
direct
0.3750 0.6250 0.0000
0.3750 0.6250 0.5000
0.8750 0.1250 0.5000
0.8749 0.6249 0.0000
0.8750 0.6251 0.5000
0.3751 0.1251 0.0000
0.3749 0.1250 0.5000
0.6299 0.8799 0.7550
0.6299 0.8799 0.2450
0.1201 0.3701 0.7550
0.1201 0.3701 0.2450
0.1201 0.8799 0.7551
0.1201 0.8799 0.2449
0.6299 0.3701 0.7550
0.6299 0.3701 0.2450
0.8751 0.1249 0.0000
```

Values from the calculation:
crystal system: tetragonal
ΔE_f: 0.56 eV/f.u.
spin magnetization: 0.0 μB per formula unit


(2)
Below is a relaxed Ac2NdSm3Te6 crystal, with properties calculated at the PBE level.

Geometry as POSCAR:
```
Ac2NdSm3Te6
1.0
4.5217 0.0000 0.0000
0.0000 9.1679 0.2737
-2.2609 -2.6982 9.5655
Ac Nd Sm Te
2 1 3 6
direct
0.8353 0.6693 0.6706
0.1647 0.3307 0.3294
0.5000 0.0000 0.0000
0.5000 0.5000 0.0000
0.8310 0.1639 0.6621
0.1690 0.8361 0.3379
0.3335 0.9294 0.6670
0.6631 0.5941 0.3262
0.6665 0.0706 0.3330
0.9940 0.2504 0.9880
0.0060 0.7496 0.0120
0.3369 0.4059 0.6738
```

Values from the calculation:
crystal system: monoclinic
raw total energy: -5.25 eV per atom
spin magnetization: 0.0 μB per formula unit


(3)
Below is a relaxed Ce3SnGe3 crystal, with properties calculated at the PBE level.

Geometry as POSCAR:
```
Ce3SnGe3
1.0
-3.6317 1.2987 -4.4177
-6.1694 -5.1216 3.5661
0.4274 8.4981 2.1469
Ce Sn Ge
6 2 6
direct
0.7500 0.6864 0.6019
0.7500 0.3981 0.0845
0.7500 0.9155 0.3136
0.2500 0.3136 0.3981
0.2500 0.6019 0.9155
0.2500 0.0845 0.6864
0.2500 0.6667 0.3333
0.7500 0.3333 0.6667
0.2500 0.7276 0.6669
0.2500 0.3331 0.0606
0.2500 0.9394 0.2724
0.7500 0.2724 0.3331
0.7500 0.6669 0.9394
0.7500 0.0606 0.7276
```

Values from the calculation:
crystal system: hexagonal
ΔE_f: -3.56 eV/f.u.
spin magnetization: 2.2 μB per formula unit


(4)
Below is a relaxed Tm4BS2 crystal, with properties calculated at the PBE level.

Geometry as POSCAR:
```
Tm4BS2
1.0
-2.9741 -1.0726 2.3280
4.2529 -0.4476 5.2271
-1.9337 10.7806 2.4966
B Tm S
2 8 4
direct
0.0000 0.0000 0.5000
0.0000 0.5000 0.0000
0.0000 0.6245 0.7975
0.0000 0.3755 0.2025
0.0000 0.1245 0.7025
0.0000 0.8755 0.2975
0.5000 0.7727 0.5492
0.5000 0.2273 0.4508
0.5000 0.7273 0.0492
0.5000 0.2727 0.9508
0.5000 0.9101 0.8165
0.5000 0.0899 0.1835
0.5000 0.4101 0.6835
0.5000 0.5899 0.3165
```

Values from the calculation:
crystal system: orthorhombic
raw total energy: -5.85 eV per atom
spin magnetization: 0.0 μB per formula unit